Here is crystalline TlSiSb at its relaxed geometry from the Alexandria database. Energies are from GGA-PBEsol.

Results
The raw formation energy is 0.364 eV/atom. The total energy comes out at -3.95 eV per atom. The excess energy over the best structure of this formula in the dataset comes out at 0 meV per atom. As for the space-group type: F-43m, No. 216.

Structure (CIF):
```
data_TlSiSb
_cell_length_a 4.835
_cell_length_b 4.835
_cell_length_c 4.835
_cell_angle_alpha 60.00
_cell_angle_beta 60.00
_cell_angle_gamma 60.00
_space_group_name_H-M_alt 'P 1'
_space_group_IT_number 1
loop_
_space_group_symop_operation_xyz
'x,y,z'
loop_
_atom_site_label
_atom_site_type_symbol
_atom_site_fract_x
_atom_site_fract_y
_atom_site_fract_z
Tl1 Tl 0.000 0.000 0.000
Si1 Si 0.750 0.750 0.750
Sb1 Sb 0.500 0.500 0.500
```